(1)
## LuAgTe3Pb (PBE-GGA)

Data for LuAgTe3Pb after structural relaxation.

Lattice parameters (Å, degrees): 7.694 7.694 11.161 90.00 90.00 147.47
Positions (direct):
Lu: 0.000 0.000 0.000
Lu: 0.000 0.000 0.500
Ag: 0.467 0.533 0.750
Ag: 0.533 0.467 0.250
Te: 0.091 0.909 0.750
Te: 0.356 0.644 0.548
Te: 0.356 0.644 0.952
Te: 0.644 0.356 0.048
Te: 0.644 0.356 0.452
Te: 0.909 0.091 0.250
Pb: 0.232 0.768 0.250
Pb: 0.768 0.232 0.750

Values from the calculation:
crystal system	orthorhombic
total magnetic moment	0.002	μB/f.u.
electronic total energy	-4.09	eV per atom

(2)
## Ba3Ta2HgO9 (PBE-GGA)

Data for Ba3Ta2HgO9 after structural relaxation.

Lattice parameters (Å, degrees): 5.920 5.920 7.361 90.00 90.00 120.00
Positions (direct):
Ba: 0.000 0.000 0.000
Ba: 0.333 0.667 0.662
Ba: 0.667 0.333 0.338
Ta: 0.333 0.667 0.163
Ta: 0.667 0.333 0.837
Hg: 0.000 0.000 0.500
O: 0.000 0.500 0.000
O: 0.177 0.355 0.308
O: 0.177 0.823 0.308
O: 0.355 0.177 0.692
O: 0.500 0.000 0.000
O: 0.500 0.500 0.000
O: 0.645 0.823 0.308
O: 0.823 0.177 0.692
O: 0.823 0.645 0.692

Values from the calculation:
crystal system	trigonal
total magnetic moment	0.000	μB/f.u.
electronic total energy	-7.56	eV per atom